MgMnN | the Alexandria database | PBE | relaxed; uncorrected formation energy = -0.295 eV per atom; DOS(E_F) = 1.7 states/eV/f.u.; ΔE to the lowest computed polymorph = 59 meV/atom
1.0
5.173 -1.441 0.000
5.173 1.441 0.000
-2.556 0.000 4.669
Mg Mn N
2 2 2
direct
0.107 0.107 0.307 Mg
0.893 0.893 0.693 Mg
0.343 0.343 0.164 Mn
0.657 0.657 0.836 Mn
0.254 0.254 0.760 N
0.746 0.746 0.240 N

Ta2InCl | the Alexandria database | PBE | relaxed; uncorrected formation energy = 0.527 eV per atom; DOS(E_F) = 3.8 states/eV/f.u.; ΔE to the lowest computed polymorph = 655 meV/atom
1.0
2.816 -5.297 0.000
2.816 5.297 0.000
-1.660 0.000 2.718
Ta In Cl
2 1 1
direct
0.000 0.500 0.000 Ta
0.500 0.000 0.000 Ta
0.000 0.000 0.000 In
0.500 0.500 0.000 Cl

RbTiSe | the Alexandria database | PBE | relaxed; uncorrected formation energy = -0.782 eV per atom; DOS(E_F) = 3.1 states/eV/f.u.
1.0
4.026 0.000 0.000
0.000 4.026 0.000
0.000 0.000 11.817
Rb Ti Se
2 2 2
direct
0.250 0.250 0.197 Rb
0.750 0.750 0.803 Rb
0.250 0.750 0.500 Ti
0.750 0.250 0.500 Ti
0.250 0.250 0.642 Se
0.750 0.750 0.358 Se

Ba2CaY | the Alexandria database | PBE | relaxed; DOS(E_F) = 5.8 states/eV/f.u.; ΔE to the lowest computed polymorph = 39 meV/atom; E_form = 0.172 eV/atom
1.0
2.358 -3.149 0.000
2.358 3.149 0.000
0.000 0.000 12.693
Ba Ca Y
2 1 1
direct
0.000 0.000 0.000 Ba
0.500 0.500 0.286 Ba
0.500 0.500 0.739 Ca
0.000 0.000 0.525 Y

Pm2SmAu3 | the Alexandria database | PBE | relaxed; DOS(E_F) = 4.2 states/eV/f.u.; ΔE to the lowest computed polymorph = 3 meV/atom; E_form = -0.789 eV/atom
1.0
2.618 -7.857 0.000
2.618 7.857 0.000
0.000 0.000 7.318
Pm Sm Au
4 2 6
direct
0.000 0.000 0.000 Pm
0.000 0.000 0.500 Pm
0.333 0.667 0.000 Pm
0.667 0.333 0.000 Pm
0.333 0.667 0.500 Sm
0.667 0.333 0.500 Sm
0.167 0.833 0.253 Au
0.167 0.833 0.747 Au
0.500 0.500 0.251 Au
0.500 0.500 0.749 Au
0.833 0.167 0.253 Au
0.833 0.167 0.747 Au

AcTbSm2Se4 | the Alexandria database | PBE | relaxed; uncorrected formation energy = -1.791 eV per atom; DOS(E_F) = 4.6 states/eV/f.u.
1.0
7.271 0.000 0.000
0.000 4.168 0.000
-2.397 0.000 7.080
Ac Tb Sm Se
1 1 2 4
direct
0.000 0.000 0.000 Ac
0.000 0.500 0.500 Tb
0.500 0.000 0.500 Sm
0.500 0.500 0.000 Sm
0.251 0.000 0.738 Se
0.260 0.500 0.266 Se
0.740 0.500 0.734 Se
0.749 0.000 0.262 Se

LiAg3Pd | the Alexandria database | PBE | relaxed; DOS(E_F) = 1.4 states/eV/f.u.; ΔE to the lowest computed polymorph = 56 meV/atom; E_form = -0.105 eV/atom
1.0
5.856 -3.911 0.000
5.856 3.911 0.000
-5.808 0.000 7.385
Li Ag Pd
4 12 4
direct
0.005 0.995 0.750 Li
0.391 0.609 0.250 Li
0.609 0.391 0.750 Li
0.995 0.005 0.250 Li
0.074 0.358 0.089 Ag
0.103 0.755 0.450 Ag
0.245 0.897 0.050 Ag
0.325 0.341 0.920 Ag
0.341 0.325 0.420 Ag
0.358 0.074 0.589 Ag
0.642 0.926 0.411 Ag
0.659 0.675 0.580 Ag
0.675 0.659 0.080 Ag
0.755 0.103 0.950 Ag
0.897 0.245 0.550 Ag
0.926 0.642 0.911 Ag
0.156 0.558 0.685 Pd
0.442 0.844 0.815 Pd
0.558 0.156 0.185 Pd
0.844 0.442 0.315 Pd

NaLi5Bi3 | the Alexandria database | PBE | relaxed; DOS(E_F) = 3.6 states/eV/f.u.; E_form = -0.395 eV/atom
1.0
8.592 0.000 0.000
-4.296 7.441 0.000
0.000 0.000 6.221
Na Li Bi
2 10 6
direct
0.000 0.000 0.000 Na
0.000 0.000 0.500 Na
0.000 0.327 0.250 Li
0.000 0.673 0.750 Li
0.327 0.000 0.250 Li
0.327 0.327 0.750 Li
0.333 0.667 0.000 Li
0.333 0.667 0.500 Li
0.667 0.333 0.000 Li
0.667 0.333 0.500 Li
0.673 0.000 0.750 Li
0.673 0.673 0.250 Li
0.000 0.350 0.750 Bi
0.000 0.650 0.250 Bi
0.350 0.000 0.750 Bi
0.350 0.350 0.250 Bi
0.650 0.000 0.250 Bi
0.650 0.650 0.750 Bi

Li7Ca2Al | the Alexandria database | PBE | relaxed; DOS(E_F) = 8.7 states/eV/f.u.; E_form = 0.146 eV/atom
1.0
0.000 5.029 5.029
5.029 0.000 5.029
5.029 5.029 0.000
Li Ca Al
7 2 1
direct
0.000 0.000 0.000 Li
0.248 0.248 0.752 Li
0.248 0.752 0.248 Li
0.248 0.752 0.752 Li
0.752 0.248 0.248 Li
0.752 0.248 0.752 Li
0.752 0.752 0.248 Li
0.250 0.250 0.250 Ca
0.750 0.750 0.750 Ca
0.500 0.500 0.500 Al

MgReHg2 | the Alexandria database | PBE | relaxed; DOS(E_F) = 1.7 states/eV/f.u.; E_form = 0.512 eV/atom
1.0
4.498 0.000 0.000
0.000 4.498 0.000
0.000 0.000 3.637
Mg Re Hg
1 1 2
direct
0.000 0.000 0.000 Mg
0.500 0.500 0.000 Re
0.000 0.500 0.500 Hg
0.500 0.000 0.500 Hg

BeW | the Alexandria database | PBE | relaxed; DOS(E_F) = 0.5 states/eV/f.u.; ΔE to the lowest computed polymorph = 352 meV/atom; E_form = 0.124 eV/atom
1.0
2.646 0.000 0.000
0.075 4.272 0.000
0.814 1.399 4.376
Be W
2 2
direct
0.171 0.352 0.180 Be
0.829 0.648 0.820 Be
0.344 0.186 0.691 W
0.656 0.814 0.309 W

RbNiGe2 | the Alexandria database | PBE | relaxed; DOS(E_F) = 2.4 states/eV/f.u.; ΔE to the lowest computed polymorph = 175 meV/atom; E_form = 0.023 eV/atom
1.0
-2.819 2.819 7.146
2.819 -2.819 7.146
2.819 2.819 -7.146
Rb Ni Ge
2 2 4
direct
0.375 0.625 0.750 Rb
0.625 0.375 0.250 Rb
0.125 0.875 0.250 Ni
0.875 0.125 0.750 Ni
0.000 0.000 0.000 Ge
0.000 0.000 0.500 Ge
0.000 0.500 0.000 Ge
0.500 0.000 0.500 Ge

Rb2Nb2O | the Alexandria database | PBE | relaxed; uncorrected formation energy = 0.322 eV per atom; DOS(E_F) = 5.7 states/eV/f.u.
1.0
-1.818 1.818 11.097
1.818 -1.818 11.097
1.818 1.818 -11.097
Rb Nb O
2 2 1
direct
0.072 0.072 0.000 Rb
0.928 0.928 0.000 Rb
0.250 0.750 0.500 Nb
0.750 0.250 0.500 Nb
0.500 0.500 0.000 O

YAlMo2 | the Alexandria database | PBE | relaxed; DOS(E_F) = 2.2 states/eV/f.u.; E_form = 0.162 eV/atom
1.0
1.663 -2.413 0.000
1.663 2.413 0.000
0.000 0.000 9.285
Y Al Mo
1 1 2
direct
0.000 0.000 0.000 Y
0.500 0.500 0.714 Al
0.000 0.000 0.486 Mo
0.500 0.500 0.271 Mo

Ac2Dy2Tl3 | the Alexandria database | PBE | relaxed; DOS(E_F) = 5.3 states/eV/f.u.; ΔE to the lowest computed polymorph = 0 meV/atom; E_form = -0.217 eV/atom
1.0
3.883 0.000 0.000
1.931 6.460 0.000
0.005 0.615 8.966
Ac Dy Tl
2 2 3
direct
0.207 0.086 0.167 Ac
0.793 0.914 0.833 Ac
0.055 0.391 0.712 Dy
0.945 0.609 0.288 Dy
0.356 0.787 0.530 Tl
0.500 0.500 0.000 Tl
0.644 0.213 0.470 Tl

YB2SbRu | the Alexandria database | PBE | relaxed; uncorrected formation energy = 0.298 eV per atom; DOS(E_F) = 0.9 states/eV/f.u.
1.0
4.139 0.000 0.000
0.000 4.139 0.000
0.000 0.000 5.484
Y B Sb Ru
1 2 1 1
direct
0.000 0.000 0.000 Y
0.000 0.500 0.500 B
0.500 0.000 0.500 B
0.500 0.500 0.000 Sb
0.500 0.500 0.500 Ru

Li2ThH6 | the Alexandria database | PBE | relaxed; VASP energy = -3.087 eV per atom; DOS(E_F) = 0.1 states/eV/f.u.
1.0
0.000 4.168 4.168
4.168 0.000 4.168
4.168 4.168 0.000
Li Th H
2 1 6
direct
0.250 0.250 0.250 Li
0.750 0.750 0.750 Li
0.000 0.000 0.000 Th
0.266 0.266 0.734 H
0.266 0.734 0.266 H
0.266 0.734 0.734 H
0.734 0.266 0.266 H
0.734 0.266 0.734 H
0.734 0.734 0.266 H

ZrFe2P | the Alexandria database | PBE | relaxed; DOS(E_F) = 3.2 states/eV/f.u.; E_form = -0.161 eV/atom
1.0
0.000 3.049 3.049
3.049 0.000 3.049
3.049 3.049 0.000
Zr Fe P
1 2 1
direct
0.000 0.000 0.000 Zr
0.250 0.250 0.250 Fe
0.500 0.500 0.500 Fe
0.750 0.750 0.750 P

BaNdAlSe4 | the Alexandria database | PBE | relaxed; uncorrected formation energy = -1.608 eV per atom
1.0
6.935 0.000 0.000
0.000 7.051 0.000
-2.673 0.000 8.440
Ba Nd Al Se
2 2 2 8
direct
0.245 0.250 0.437 Ba
0.755 0.750 0.563 Ba
0.273 0.250 0.946 Nd
0.727 0.750 0.054 Nd
0.271 0.750 0.180 Al
0.729 0.250 0.820 Al
0.066 0.750 0.913 Se
0.076 0.750 0.360 Se
0.493 0.508 0.772 Se
0.493 0.992 0.772 Se
0.507 0.008 0.228 Se
0.507 0.492 0.228 Se
0.924 0.250 0.640 Se
0.934 0.250 0.087 Se

Y2TaGa | the Alexandria database | PBE | relaxed; DOS(E_F) = 5.1 states/eV/f.u.; E_form = 0.448 eV/atom
1.0
-4.052 4.052 2.949
4.052 -4.052 2.949
4.052 4.052 -2.949
Y Ta Ga
4 2 2
direct
0.104 0.125 0.479 Y
0.375 0.896 0.021 Y
0.646 0.625 0.521 Y
0.875 0.354 0.979 Y
0.250 0.750 0.500 Ta
0.500 0.500 0.000 Ta
0.000 0.000 0.000 Ga
0.750 0.250 0.500 Ga